Material: SrH2AuF8
Method: DFT, PBE-GGA
State: relaxed

Values from the calculation:
Its total energy is -0.29974 Ry/atom. Its space-group type is P-1 (2). The density of states at the Fermi level is 2.1 states/eV/cell. Its magnetic moment is 1.03 μB/cell.

Structure (POSCAR):
```
SrH2AuF8
1.0
5.1687 0.6462 -0.4170
0.8266 4.5129 0.1148
-0.7065 0.3139 7.4674
F H Sr Au
8 2 1 1
Direct
0.7264 0.2413 0.7282 F
0.7612 0.7446 0.9638 F
0.2757 0.3565 0.5821 F
0.2388 0.2554 0.0362 F
0.7901 0.1980 0.1814 F
0.7243 0.6435 0.4179 F
0.2736 0.7587 0.2718 F
0.2099 0.8020 0.8186 F
0.5306 0.6947 0.3338 H
0.4694 0.3053 0.6662 H
0.0000 0.0000 0.5000 Sr
0.0000 0.0000 0.0000 Au
```